! Ce4Mg4Sc, relaxed, DFT PBE-GGA; values from VASP
! Symmetry ... I4/mmm, No. 139
! DOS at the Fermi energy ... 14.333 states/eV per cell
! Formation enthalpy at 0 K ... 46.4 meV/atom
&SYSTEM
  ibrav = 0, nat = 9, ntyp = 3
/
ATOMIC_SPECIES
Ce 140.12 Ce.upf
Mg 24.30 Mg.upf
Sc 44.96 Sc.upf
CELL_PARAMETERS angstrom
-0.5396 -2.2254 -2.2930
7.9092 -2.1691 -2.0462
-0.3995 -7.0499 4.6461
ATOMIC_POSITIONS crystal
Ce 0.5002 0.1535 0.3460
Ce 0.8463 0.1540 0.6535
Ce 0.4998 0.8465 0.6540
Ce 0.1537 0.8460 0.3465
Mg 0.8305 0.4997 0.3393
Mg 0.1698 0.1607 0.9997
Mg 0.1695 0.5003 0.6607
Mg 0.8302 0.8393 0.0003
Sc 0.5000 0.5000 0.0000